1 | A relaxed Sc2TiO5 crystal, computed with PBE-GGA.

Calculated values
M_tot in μB/f.u.: 0.000

POSCAR file:
```
Sc2TiO5
1.0
-1.862 3.258 -3.983
-1.044 -4.958 2.067
-6.778 4.169 6.579
Sc Ti O
4 2 10
Direct
0.637 0.363 0.437 Sc
0.695 0.305 0.750 Sc
0.305 0.695 0.250 Sc
0.363 0.637 0.937 Sc
0.633 0.367 0.059 Ti
0.367 0.633 0.559 Ti
0.554 0.446 0.891 O
0.814 0.186 0.570 O
0.729 0.271 0.242 O
0.801 0.199 0.932 O
0.537 0.463 0.619 O
0.271 0.729 0.742 O
0.186 0.814 0.070 O
0.446 0.554 0.391 O
0.463 0.537 0.119 O
0.199 0.801 0.432 O
```


2 | A relaxed Sc2TiO5 crystal, computed with PBE-GGA.

Calculated values
M_tot in μB/f.u.: 0.000

POSCAR file:
```
Sc2TiO5
1.0
3.545 0.000 0.000
0.000 7.092 0.000
0.000 0.000 14.551
Sc Ti O
8 4 20
Direct
0.750 0.430 0.402 Sc
0.750 0.351 0.775 Sc
0.250 0.149 0.275 Sc
0.250 0.070 0.902 Sc
0.750 0.930 0.098 Sc
0.750 0.851 0.725 Sc
0.250 0.649 0.225 Sc
0.250 0.570 0.598 Sc
0.750 0.370 0.071 Ti
0.250 0.130 0.571 Ti
0.750 0.870 0.429 Ti
0.250 0.630 0.929 Ti
0.250 0.425 0.314 O
0.250 0.441 0.055 O
0.250 0.367 0.851 O
0.250 0.354 0.494 O
0.750 0.212 0.171 O
0.250 0.288 0.671 O
0.750 0.146 0.994 O
0.750 0.133 0.351 O
0.750 0.059 0.555 O
0.750 0.075 0.814 O
0.250 0.925 0.186 O
0.250 0.941 0.445 O
0.250 0.867 0.649 O
0.250 0.854 0.006 O
0.750 0.712 0.329 O
0.250 0.788 0.829 O
0.750 0.646 0.506 O
0.750 0.633 0.149 O
0.750 0.559 0.945 O
0.750 0.575 0.686 O
```


Most stable pick: 1. Distance to second place: 51 meV per atom.


1 | A relaxed ZrSc2TiO crystal, computed with PBE-GGA.

Calculated values
M_tot in μB/f.u.: 0.000

POSCAR file:
```
ZrSc2TiO
1.0
-2.462 -3.495 1.400
1.347 -2.380 -3.572
3.358 -1.467 2.244
Sc O Zr Ti
2 1 1 1
Direct
0.000 0.500 0.000 Sc
0.500 0.000 0.000 Sc
0.000 0.000 0.000 O
0.500 0.500 0.500 Zr
0.000 0.000 0.500 Ti
```


2 | A relaxed ZrSc2TiO crystal, computed with PBE-GGA.

Calculated values
M_tot in μB/f.u.: 0.625

POSCAR file:
```
ZrSc2TiO
1.0
-4.264 0.852 -0.350
-0.160 -2.319 -3.692
-0.967 -3.833 2.449
Sc O Zr Ti
2 1 1 1
Direct
0.000 0.500 0.000 Sc
0.500 0.000 0.000 Sc
0.000 0.000 0.000 O
0.000 0.000 0.500 Zr
0.500 0.500 0.500 Ti
```


Most stable pick: 2. Distance to second place: 49 meV per atom.


1 | A relaxed Sc6Tl2O crystal, computed with PBE-GGA.

Calculated values
M_tot in μB/f.u.: 1.574

POSCAR file:
```
Sc6Tl2O
1.0
-2.144 -1.763 -1.869
-2.316 -4.358 6.768
-3.870 6.898 -2.066
Sc Tl O
6 2 1
Direct
0.500 0.603 0.000 Sc
0.500 0.422 0.398 Sc
0.500 0.024 0.602 Sc
0.000 0.258 0.000 Sc
0.000 0.797 0.788 Sc
0.000 0.009 0.212 Sc
0.000 0.349 0.658 Tl
0.000 0.691 0.342 Tl
0.500 0.846 0.000 O
```


2 | A relaxed Sc6Tl2O crystal, computed with PBE-GGA.

Calculated values
M_tot in μB/f.u.: 0.007

POSCAR file:
```
Sc6Tl2O
1.0
6.379 0.000 -0.170
0.000 6.381 0.000
0.239 0.000 9.003
Sc Tl O
12 4 2
Direct
0.000 0.000 0.252 Sc
0.753 0.753 0.500 Sc
0.747 0.747 0.000 Sc
0.753 0.247 0.500 Sc
0.747 0.253 0.000 Sc
0.500 0.500 0.248 Sc
0.000 0.000 0.748 Sc
0.247 0.247 0.500 Sc
0.253 0.253 0.000 Sc
0.247 0.753 0.500 Sc
0.253 0.747 0.000 Sc
0.500 0.500 0.752 Sc
0.000 0.500 0.750 Tl
0.500 0.000 0.750 Tl
0.500 0.000 0.250 Tl
0.000 0.500 0.250 Tl
0.500 0.500 0.000 O
0.000 0.000 0.500 O
```


Most stable pick: 2. Distance to second place: 155 meV per atom.


1 | A relaxed Sc2TlO crystal, computed with PBE-GGA.

Calculated values
M_tot in μB/f.u.: 0.000

POSCAR file:
```
Sc2TlO
1.0
0.000 3.368 3.368
3.368 0.000 3.368
3.368 3.368 0.000
Sc Tl O
2 1 1
Direct
0.250 0.250 0.250 Sc
0.750 0.750 0.750 Sc
0.500 0.500 0.500 Tl
0.000 0.000 0.000 O
```


2 | A relaxed Sc2TlO crystal, computed with PBE-GGA.

Calculated values
M_tot in μB/f.u.: 0.000

POSCAR file:
```
Sc2TlO
1.0
3.222 0.000 0.000
0.000 6.184 -0.256
0.000 -2.492 7.596
Sc Tl O
4 2 2
Direct
0.250 0.284 0.018 Sc
0.750 0.716 0.982 Sc
0.250 0.296 0.647 Sc
0.750 0.704 0.353 Sc
0.750 0.189 0.305 Tl
0.250 0.811 0.695 Tl
0.750 0.354 0.845 O
0.250 0.646 0.155 O
```


Most stable pick: 2. Distance to second place: 1172 meV per atom.


1 | A relaxed Sc2TlO crystal, computed with PBE-GGA.

Calculated values
M_tot in μB/f.u.: 0.000

POSCAR file:
```
Sc2TlO
1.0
1.908 0.000 8.308
-0.954 1.652 8.308
-0.954 -1.652 8.308
Sc Tl O
2 1 1
Direct
0.881 0.881 0.881 Sc
0.119 0.119 0.119 Sc
0.000 0.000 0.000 Tl
0.500 0.500 0.500 O
```


2 | A relaxed Sc2TlO crystal, computed with PBE-GGA.

Calculated values
M_tot in μB/f.u.: 1.331

POSCAR file:
```
Sc2TlO
1.0
-0.748 0.671 -2.805
-1.567 -2.527 -0.187
-6.107 3.603 2.490
Sc Tl O
2 1 1
Direct
0.000 0.000 0.811 Sc
0.000 0.000 0.189 Sc
0.500 0.500 0.500 Tl
0.500 0.500 0.000 O
```


3 | A relaxed Sc2TlO crystal, computed with PBE-GGA.

Calculated values
M_tot in μB/f.u.: 0.000

POSCAR file:
```
Sc2TlO
1.0
6.522 0.000 0.000
0.000 6.522 0.000
3.261 3.261 3.811
Sc Tl O
4 2 2
Direct
0.504 0.125 0.250 Sc
0.246 0.625 0.250 Sc
0.375 0.496 0.750 Sc
0.875 0.754 0.750 Sc
0.000 0.000 0.000 Tl
0.750 0.250 0.500 Tl
0.500 0.500 0.000 O
0.250 0.750 0.500 O
```


4 | A relaxed Sc2TlO crystal, computed with PBE-GGA.

Calculated values
M_tot in μB/f.u.: 0.000

POSCAR file:
```
Sc2TlO
1.0
4.264 -0.013 -0.203
-0.013 4.264 -0.203
-0.400 -0.400 8.215
Sc Tl O
4 2 2
Direct
0.807 0.807 0.820 Sc
0.748 0.252 0.500 Sc
0.193 0.193 0.180 Sc
0.252 0.748 0.500 Sc
0.313 0.313 0.822 Tl
0.687 0.687 0.178 Tl
0.233 0.233 0.437 O
0.767 0.767 0.563 O
```


Most stable pick: 4. Distance to second place: 137 meV per atom.


1 | A relaxed ScTl3O crystal, computed with PBE-GGA.

Calculated values
M_tot in μB/f.u.: 0.000

POSCAR file:
```
ScTl3O
1.0
4.967 0.000 0.000
0.000 4.967 0.000
0.000 0.000 4.967
Sc Tl O
1 3 1
Direct
0.500 0.500 0.500 Sc
0.000 0.500 0.000 Tl
0.000 0.000 0.500 Tl
0.500 0.000 0.000 Tl
0.000 0.000 0.000 O
```


2 | A relaxed ScTl3O crystal, computed with PBE-GGA.

Calculated values
M_tot in μB/f.u.: 2.509

POSCAR file:
```
ScTl3O
1.0
5.732 0.000 0.000
0.000 5.732 0.000
0.000 0.000 5.732
Sc Tl O
1 3 1
Direct
0.000 0.000 0.000 Sc
0.000 0.500 0.000 Tl
0.000 0.000 0.500 Tl
0.500 0.000 0.000 Tl
0.500 0.500 0.500 O
```


Most stable pick: 1. Distance to second place: 783 meV per atom.